## Ag5Sb (PBE-GGA)

Data for a geometry-optimized Ag5Sb structure.

Properties
* energy: -0.1109 Ha/atom
* relative energy among the computed polymorphs: 0.095 eV/f.u.

```
data_Ag5Sb
_cell_length_a 5.2511
_cell_length_b 5.2511
_cell_length_c 4.8286
_cell_angle_alpha 90.00
_cell_angle_beta 90.00
_cell_angle_gamma 120.00
_symmetry_space_group_name_H-M 'P -6 2 m'
_symmetry_Int_Tables_number 189
_symmetry_space_group_name_Hall 'P -6 -2'
loop_
_atom_site_label
_atom_site_type_symbol
_atom_site_fract_x
_atom_site_fract_y
_atom_site_fract_z
Ag1 Ag 0.0000 0.6573 0.0000
Ag2 Ag 0.3333 0.6667 0.5000
Sb1 Sb 0.0000 0.0000 0.5000
```